1:
Density functional theory data (PBE) for crystalline Ga3BrO at its relaxed geometry.

Symmetry = Pm-3m

```
Ga3BrO
1.0
-1.9229 3.1954 -3.0303
-0.9055 -3.5228 -3.1401
-4.3096 -0.6855 2.0118
Br O Ga
1 1 3
direct
0.5000 0.5000 0.5000
0.0000 0.0000 0.0000
0.5000 0.0000 0.0000
0.0000 0.0000 0.5000
0.0000 0.5000 0.0000
```

=====

2:
Density functional theory data (PBE) for crystalline Ga3BrO at its relaxed geometry.

Symmetry = Pm-3m

```
Ga3BrO
1.0
-4.0805 3.9358 -0.1406
-3.4403 -3.4638 2.8858
1.9169 2.1617 4.8799
Ga O Br
3 1 1
direct
0.5000 0.0000 0.0000
0.0000 0.5000 0.0000
0.0000 0.0000 0.5000
0.5000 0.5000 0.5000
0.0000 0.0000 0.0000
```

=====

Of them, 1 has the highest stability.

=====

1:
Density functional theory data (PBE) for crystalline GaBr2O at its relaxed geometry.

Symmetry = I-42d

```
GaBr2O
1.0
-1.3414 -3.5203 5.8872
1.8265 -5.9655 -3.1509
3.7817 -4.2430 2.4734
Br Ga O
4 2 2
direct
0.8750 0.8960 0.7500
0.3750 0.3540 0.7500
0.1040 0.6250 0.2500
0.6460 0.1250 0.2500
0.0000 0.0000 0.0000
0.7500 0.2500 0.5000
0.5000 0.5000 0.0000
0.2500 0.7500 0.5000
```

=====

2:
Density functional theory data (PBE) for crystalline GaBr2O at its relaxed geometry.

Symmetry = R-3m

```
GaBr2O
1.0
0.0951 -7.5950 1.3089
3.8797 -6.3160 2.1125
0.9434 -5.8719 4.9028
Ga Br O
1 2 1
direct
0.5000 0.5000 0.5000
0.0923 0.0923 0.0923
0.9077 0.9077 0.9077
0.0000 0.0000 0.0000
```

=====

Of them, 2 has the highest stability.

=====

1:
Density functional theory data (PBE) for crystalline GaP2BrO at its relaxed geometry.

Symmetry = P4/mmm

```
GaP2BrO
1.0
4.9746 0.0000 0.0000
0.0000 4.9746 0.0000
0.0000 0.0000 3.6710
Br Ga O P
1 1 1 2
direct
0.5000 0.5000 0.5000
0.0000 0.0000 0.0000
0.0000 0.0000 0.5000
0.0000 0.5000 0.0000
0.5000 0.0000 0.0000
```

=====

2:
Density functional theory data (PBE) for crystalline GaP2BrO at its relaxed geometry.

Symmetry = P4/mmm

```
GaP2BrO
1.0
-0.7577 -4.7243 1.2154
3.3031 -1.4020 -3.3903
2.8301 0.2309 2.6618
P O Br Ga
2 1 1 1
direct
0.5000 0.0000 0.0000
0.0000 0.5000 0.0000
0.0000 0.0000 0.5000
0.0000 0.0000 0.0000
0.5000 0.5000 0.5000
```

=====

Of them, 1 has the highest stability.

=====

1:
Density functional theory data (PBE) for crystalline GaOsSe2Br at its relaxed geometry.

Symmetry = P4/mmm

```
GaOsSe2Br
1.0
-4.1135 2.7187 0.7584
-2.7124 -4.1784 0.2668
0.7759 -0.1912 4.8937
Se Br Os Ga
2 1 1 1
direct
0.0000 0.5000 0.0000
0.5000 0.0000 0.0000
0.0000 0.0000 0.5000
0.5000 0.5000 0.5000
0.0000 0.0000 0.0000
```

=====

2:
Density functional theory data (PBE) for crystalline GaOsSe2Br at its relaxed geometry.

Symmetry = P4/mmm

```
GaOsSe2Br
1.0
4.8290 0.0000 0.0000
0.0000 4.8290 0.0000
0.0000 0.0000 5.4941
Se Os Br Ga
2 1 1 1
direct
0.5000 0.0000 0.0000
0.0000 0.5000 0.0000
0.0000 0.0000 0.0000
0.0000 0.0000 0.5000
0.5000 0.5000 0.5000
```

=====

Of them, 2 has the highest stability.

=====

1:
Density functional theory data (PBE) for crystalline GaOsSeBr2 at its relaxed geometry.

Symmetry = P4/mmm

```
GaOsSeBr2
1.0
5.0444 0.0000 0.0000
0.0000 5.0444 0.0000
0.0000 0.0000 5.1642
Br Ga Se Os
2 1 1 1
direct
0.0000 0.5000 0.0000
0.5000 0.0000 0.0000
0.0000 0.0000 0.0000
0.0000 0.0000 0.5000
0.5000 0.5000 0.5000
```

=====

2:
Density functional theory data (PBE) for crystalline GaOsSeBr2 at its relaxed geometry.

Symmetry = P4/mmm

```
GaOsSeBr2
1.0
-3.4555 1.9582 -3.6410
1.6728 -3.6772 -3.5653
-3.2505 -2.9378 1.5049
Se Ga Os Br
1 1 1 2
direct
0.0000 0.0000 0.5000
0.5000 0.5000 0.5000
0.0000 0.0000 0.0000
0.5000 0.0000 0.0000
0.0000 0.5000 0.0000
```

=====

Of them, 2 has the highest stability.

=====

1:
Density functional theory data (PBE) for crystalline Ga2PBr at its relaxed geometry.

Symmetry = I-42d

```
Ga2PBr
1.0
-5.2805 3.2690 3.0446
-3.9735 -5.5913 -0.8882
-3.3799 -2.6439 4.8332
Ga P Br
4 2 2
direct
0.5710 0.1250 0.2500
0.1790 0.6250 0.2500
0.3750 0.4290 0.7500
0.8750 0.8210 0.7500
0.2500 0.7500 0.5000
0.5000 0.5000 0.0000
0.7500 0.2500 0.5000
0.0000 0.0000 0.0000
```

=====

2:
Density functional theory data (PBE) for crystalline Ga2PBr at its relaxed geometry.

Symmetry = Fm-3m

```
Ga2PBr
1.0
2.5137 -4.1853 0.0853
2.5593 -1.2303 3.9723
-1.4988 -3.6910 2.8236
Br P Ga
1 1 2
direct
0.5000 0.5000 0.5000
0.0000 0.0000 0.0000
0.7500 0.7500 0.7500
0.2500 0.2500 0.2500
```

=====

Of them, 1 has the highest stability.

=====

1:
Density functional theory data (PBE) for crystalline GaP2Br at its relaxed geometry.

Symmetry = Fm-3m

```
GaP2Br
1.0
0.0000 3.3238 3.3238
3.3238 0.0000 3.3238
3.3238 3.3238 0.0000
P Ga Br
2 1 1
direct
0.7500 0.7500 0.7500
0.2500 0.2500 0.2500
0.0000 0.0000 0.0000
0.5000 0.5000 0.5000
```

=====

2:
Density functional theory data (PBE) for crystalline GaP2Br at its relaxed geometry.

Symmetry = I-42d

```
GaP2Br
1.0
6.4806 0.0000 0.0000
0.0000 6.4806 0.0000
3.2403 3.2403 4.6198
P Br Ga
4 2 2
direct
0.5727 0.1250 0.2500
0.1773 0.6250 0.2500
0.8750 0.8227 0.7500
0.3750 0.4273 0.7500
0.7500 0.2500 0.5000
0.0000 0.0000 0.0000
0.5000 0.5000 0.0000
0.2500 0.7500 0.5000
```

=====

Of them, 2 has the highest stability.

=====

1:
Density functional theory data (PBE) for crystalline GaPb2Br at its relaxed geometry.

Symmetry = I-42d

```
GaPb2Br
1.0
-2.2230 -4.5494 4.1554
5.1101 1.1069 3.9456
-2.4723 3.4892 7.6601
Ga Pb Br
2 4 2
direct
0.5000 0.5000 0.0000
0.2500 0.7500 0.5000
0.5848 0.1250 0.2500
0.1652 0.6250 0.2500
0.8750 0.8348 0.7500
0.3750 0.4152 0.7500
0.7500 0.2500 0.5000
0.0000 0.0000 0.0000
```

=====

2:
Density functional theory data (PBE) for crystalline GaPb2Br at its relaxed geometry.

Symmetry = P4/mmm

```
GaPb2Br
1.0
3.5805 0.0000 0.0000
0.0000 3.5805 0.0000
0.0000 0.0000 8.6448
Ga Br Pb
1 1 2
direct
0.5000 0.5000 0.0000
0.5000 0.5000 0.5000
0.0000 0.0000 0.2298
0.0000 0.0000 0.7702
```

=====

3:
Density functional theory data (PBE) for crystalline GaPb2Br at its relaxed geometry.

Symmetry = Fm-3m

```
GaPb2Br
1.0
0.7713 -5.0515 -1.7182
-0.6034 -4.1297 3.4126
-4.1997 -3.3394 -0.5253
Br Ga Pb
1 1 2
direct
0.5000 0.5000 0.5000
0.0000 0.0000 0.0000
0.7500 0.7500 0.7500
0.2500 0.2500 0.2500
```

=====

Of them, 2 has the highest stability.

=====

1:
Density functional theory data (PBE) for crystalline Ga2PbBr at its relaxed geometry.

Symmetry = I-42d

```
Ga2PbBr
1.0
6.3743 0.0000 0.0000
0.0000 6.3743 0.0000
3.1872 3.1872 7.1585
Pb Ga Br
2 4 2
direct
0.0000 0.0000 0.0000
0.7500 0.2500 0.5000
0.6392 0.1250 0.2500
0.1108 0.6250 0.2500
0.3750 0.3608 0.7500
0.8750 0.8892 0.7500
0.5000 0.5000 0.0000
0.2500 0.7500 0.5000
```

=====

2:
Density functional theory data (PBE) for crystalline Ga2PbBr at its relaxed geometry.

Symmetry = Fm-3m

```
Ga2PbBr
1.0
0.0000 3.7072 3.7072
3.7072 0.0000 3.7072
3.7072 3.7072 0.0000
Ga Pb Br
2 1 1
direct
0.7500 0.7500 0.7500
0.2500 0.2500 0.2500
0.5000 0.5000 0.5000
0.0000 0.0000 0.0000
```

=====

Of them, 2 has the highest stability.

=====

1:
Density functional theory data (PBE) for crystalline Ga2Pb2Br at its relaxed geometry.

Symmetry = I4/mmm

```
Ga2Pb2Br
1.0
3.8109 0.0000 0.0000
0.0000 3.8109 0.0000
1.9055 1.9055 9.4183
Pb Br Ga
2 1 2
direct
0.3836 0.3836 0.2327
0.6164 0.6164 0.7673
0.0000 0.0000 0.0000
0.7500 0.2500 0.5000
0.2500 0.7500 0.5000
```

=====

2:
Density functional theory data (PBE) for crystalline Ga2Pb2Br at its relaxed geometry.

Symmetry = P4/mbm

```
Ga2Pb2Br
1.0
-1.5335 4.5808 -7.0111
-6.6547 -4.9939 -1.8073
-2.2416 2.2723 1.9749
Br Pb Ga
2 4 4
direct
0.0000 0.0000 0.0000
0.5000 0.5000 0.0000
0.6923 0.8077 0.5000
0.3077 0.1923 0.5000
0.8077 0.3077 0.5000
0.1923 0.6923 0.5000
0.8889 0.6111 0.0000
0.1111 0.3889 0.0000
0.3889 0.8889 0.0000
0.6111 0.1111 0.0000
```

=====

3:
Density functional theory data (PBE) for crystalline Ga2Pb2Br at its relaxed geometry.

Symmetry = P4/mbm

```
Ga2Pb2Br
1.0
-5.3805 5.9171 3.6498
-1.4392 -5.4632 6.7354
2.8304 1.4668 1.7946
Pb Ga Br
4 4 2
direct
0.8020 0.6980 0.0000
0.3020 0.8020 0.0000
0.6980 0.1980 0.0000
0.1980 0.3020 0.0000
0.3956 0.1044 0.5000
0.1044 0.6044 0.5000
0.8956 0.3956 0.5000
0.6044 0.8956 0.5000
0.0000 0.0000 0.0000
0.5000 0.5000 0.0000
```

=====

Of them, 1 has the highest stability.

=====

1:
Density functional theory data (PBE) for crystalline GaPbSeBr2 at its relaxed geometry.

Symmetry = P4/mmm

```
GaPbSeBr2
1.0
-4.4388 -5.3999 0.3602
1.5538 -0.8254 6.7747
-5.8491 4.9376 1.9431
Pb Br Se Ga
1 2 1 1
direct
0.0000 0.0000 0.0000
0.0000 0.5000 0.0000
0.5000 0.0000 0.0000
0.0000 0.0000 0.5000
0.5000 0.5000 0.5000
```

=====

2:
Density functional theory data (PBE) for crystalline GaPbSeBr2 at its relaxed geometry.

Symmetry = P4/mmm

```
GaPbSeBr2
1.0
5.2134 0.0000 0.0000
0.0000 5.2134 0.0000
0.0000 0.0000 5.1161
Ga Se Br Pb
1 1 2 1
direct
0.0000 0.0000 0.0000
0.0000 0.0000 0.5000
0.0000 0.5000 0.0000
0.5000 0.0000 0.0000
0.5000 0.5000 0.5000
```

=====

Of them, 2 has the highest stability.

=====

1:
Density functional theory data (PBE) for crystalline GaPbSe2Br at its relaxed geometry.

Symmetry = P4/mmm

```
GaPbSe2Br
1.0
5.0889 0.0000 0.0000
0.0000 5.0889 0.0000
0.0000 0.0000 5.1597
Br Ga Se Pb
1 1 2 1
direct
0.0000 0.0000 0.5000
0.0000 0.0000 0.0000
0.0000 0.5000 0.0000
0.5000 0.0000 0.0000
0.5000 0.5000 0.5000
```

=====

2:
Density functional theory data (PBE) for crystalline GaPbSe2Br at its relaxed geometry.

Symmetry = P4/mmm

```
GaPbSe2Br
1.0
-5.3815 0.7448 0.2122
-0.4523 -1.8136 -5.1055
-0.6801 -5.4861 2.0091
Pb Se Ga Br
1 2 1 1
direct
0.0000 0.0000 0.0000
0.0000 0.5000 0.0000
0.5000 0.0000 0.0000
0.5000 0.5000 0.5000
0.0000 0.0000 0.5000
```

=====

Of them, 1 has the highest stability.

=====

1:
Density functional theory data (PBE) for crystalline GaPdBr3 at its relaxed geometry.

Symmetry = Pm-3m

```
GaPdBr3
1.0
-2.5209 -3.5402 -2.8488
-0.9465 -2.7773 4.2888
-4.4444 2.5995 0.7024
Pd Br Ga
1 3 1
direct
0.5000 0.5000 0.5000
0.0000 0.0000 0.5000
0.0000 0.5000 0.0000
0.5000 0.0000 0.0000
0.0000 0.0000 0.0000
```

=====

2:
Density functional theory data (PBE) for crystalline GaPdBr3 at its relaxed geometry.

Symmetry = Pm-3m

```
GaPdBr3
1.0
5.1883 0.0000 0.0000
0.0000 5.1883 0.0000
0.0000 0.0000 5.1883
Pd Br Ga
1 3 1
direct
0.0000 0.0000 0.0000
0.0000 0.5000 0.0000
0.5000 0.0000 0.0000
0.0000 0.0000 0.5000
0.5000 0.5000 0.5000
```

=====

Of them, 2 has the highest stability.